A relaxed NaMg2TcRu crystal. Source: Alexandria, functional PBE.

a b c (Å): 4.590 4.590 4.747
angles (deg): 90.00 90.00 90.00
Space group P4/mmm (No. 123)
One atom of each set of equivalent atoms:
Na: 0.000 0.000 0.000 x1
Mg: 0.000 0.500 0.000 x2
Tc: 0.000 0.000 0.500 x1
Ru: 0.500 0.500 0.500 x1

## Properties
Energy of formation from the pure elements ... 1.79 eV per atom
Electronic total energy ... -3.037 eV per atom
Spin magnetization ... 3.643 μB per cell
Fermi-level density of states ... 4.104 states/eV/f.u.